Record 1
A relaxed Er12Ni5Rh3 crystal, computed with GGA-PBE.

The structure in CIF format:
```
data_Er12Ni5Rh3
_chemical_formula_sum 'Er96 Ni40 Rh24'
_space_group_name_H-M_alt 'I a -3 d'
_space_group_IT_number 230
_space_group_name_Hall '-I 4bd 2c 3'
_cell_length_a 15.9610
_cell_length_b 15.9610
_cell_length_c 15.9610
_cell_angle_alpha 90.00
_cell_angle_beta 90.00
_cell_angle_gamma 90.00
loop_
_atom_site_label
_atom_site_type_symbol
_atom_site_fract_x
_atom_site_fract_y
_atom_site_fract_z
_atom_site_occupancy
Er1 Er 0.0238 0.0666 0.6508 1
Ni1 Ni 0.0000 0.0000 0.0000 1
Ni2 Ni 0.0000 0.2500 0.3750 1
Rh1 Rh 0.0000 0.2500 0.1250 1
```

## Properties
DFT formation energy = -0.169 eV/atom
V = 25.4 Å³ per atom

Record 2
A relaxed Na2La2IrO6 crystal, computed with GGA-PBE.

The structure in CIF format:
```
data_Na2La2IrO6
_chemical_formula_sum 'Na4 La4 Ir2 O12'
_space_group_name_H-M_alt 'C 1 2/m 1'
_space_group_IT_number 12
_space_group_name_Hall '-C 2y'
_cell_length_a 6.0268
_cell_length_b 10.4845
_cell_length_c 5.9091
_cell_angle_alpha 90.00
_cell_angle_beta 102.57
_cell_angle_gamma 90.00
loop_
_atom_site_label
_atom_site_type_symbol
_atom_site_fract_x
_atom_site_fract_y
_atom_site_fract_z
_atom_site_occupancy
Na1 Na 0.0000 0.1303 0.0000 1
La1 La 0.0000 0.3392 0.5000 1
Ir1 Ir 0.0000 0.0000 0.5000 1
O1 O 0.1784 0.1504 0.6878 1
O2 O 0.2394 0.0000 0.2908 1
```

## Properties
V = 16.6 Å³ per atom
E_form (uncorrected) = -2.0634 eV per atom

Record 3
A relaxed ErAg2F6 crystal, computed with GGA-PBE.

The structure in CIF format:
```
data_ErAg2F6
_chemical_formula_sum 'Er2 Ag4 F12'
_space_group_name_H-M_alt 'C 1 2/m 1'
_space_group_IT_number 12
_space_group_name_Hall '-C 2y'
_cell_length_a 12.3263
_cell_length_b 3.9799
_cell_length_c 7.2158
_cell_angle_alpha 90.00
_cell_angle_beta 125.08
_cell_angle_gamma 90.00
loop_
_atom_site_label
_atom_site_type_symbol
_atom_site_fract_x
_atom_site_fract_y
_atom_site_fract_z
_atom_site_occupancy
Er1 Er 0.0000 0.0000 0.0000 1
Ag1 Ag 0.1759 0.0000 0.6331 1
F1 F 0.0235 0.0000 0.7105 1
F2 F 0.1110 0.5000 0.0346 1
F3 F 0.2014 0.0000 0.3253 1
```

## Properties
V = 16.1 Å³ per atom
ΔE to the lowest computed polymorph = 27 meV per atom
E_form (uncorrected) = -2.3913 eV per atom

Record 4
A relaxed Pm2MgGa4Pd3 crystal, computed with GGA-PBE.

The structure in CIF format:
```
data_Pm2MgGa4Pd3
_chemical_formula_sum 'Pm2 Mg1 Ga4 Pd3'
_space_group_name_H-M_alt 'P -4 m 2'
_space_group_IT_number 115
_space_group_name_Hall 'P -4 -2'
_cell_length_a 4.2200
_cell_length_b 4.2200
_cell_length_c 11.1397
_cell_angle_alpha 90.00
_cell_angle_beta 90.00
_cell_angle_gamma 90.00
loop_
_atom_site_label
_atom_site_type_symbol
_atom_site_fract_x
_atom_site_fract_y
_atom_site_fract_z
_atom_site_occupancy
Pm1 Pm 0.0000 0.5000 0.2347 1
Mg1 Mg 0.0000 0.0000 0.5000 1
Ga1 Ga 0.0000 0.0000 0.0000 1
Ga2 Ga 0.0000 0.5000 0.6478 1
Ga3 Ga 0.5000 0.5000 0.0000 1
Pd1 Pd 0.0000 0.5000 0.8707 1
Pd2 Pd 0.5000 0.5000 0.5000 1
```

## Properties
DFT formation energy = -0.718 eV/atom
V = 19.8 Å³ per atom

Record 5
A relaxed Pr5DySn6 crystal, computed with GGA-PBE.

The structure in CIF format:
```
data_Pr5DySn6
_chemical_formula_sum 'Pr10 Dy2 Sn12'
_space_group_name_H-M_alt 'C 1 2/m 1'
_space_group_IT_number 12
_space_group_name_Hall '-C 2y'
_cell_length_a 5.9109
_cell_length_b 14.5824
_cell_length_c 8.7043
_cell_angle_alpha 90.00
_cell_angle_beta 101.77
_cell_angle_gamma 90.00
loop_
_atom_site_label
_atom_site_type_symbol
_atom_site_fract_x
_atom_site_fract_y
_atom_site_fract_z
_atom_site_occupancy
Pr1 Pr 0.0000 0.0000 0.0000 1
Pr2 Pr 0.0000 0.3278 0.0000 1
Pr3 Pr 0.0000 0.3382 0.5000 1
Dy1 Dy 0.0000 0.0000 0.5000 1
Sn1 Sn 0.0089 0.1632 0.7429 1
Sn2 Sn 0.0319 0.5000 0.2447 1
```

## Properties
DFT formation energy = -0.638 eV/atom
V = 30.6 Å³ per atom

Record 6
A relaxed ZrPd15Pb4 crystal, computed with GGA-PBE.

The structure in CIF format:
```
data_ZrPd15Pb4
_chemical_formula_sum 'Zr1 Pd15 Pb4'
_space_group_name_H-M_alt 'P 4/m m m'
_space_group_IT_number 123
_space_group_name_Hall '-P 4 2'
_cell_length_a 4.0867
_cell_length_b 4.0867
_cell_length_c 20.5598
_cell_angle_alpha 90.00
_cell_angle_beta 90.00
_cell_angle_gamma 90.00
loop_
_atom_site_label
_atom_site_type_symbol
_atom_site_fract_x
_atom_site_fract_y
_atom_site_fract_z
_atom_site_occupancy
Zr1 Zr 0.0000 0.0000 0.0000 1
Pd1 Pd 0.0000 0.5000 0.0953 1
Pd2 Pd 0.0000 0.5000 0.2985 1
Pd3 Pd 0.0000 0.5000 0.5000 1
Pd4 Pd 0.5000 0.5000 0.0000 1
Pd5 Pd 0.5000 0.5000 0.1974 1
Pd6 Pd 0.5000 0.5000 0.3988 1
Pb1 Pb 0.0000 0.0000 0.1988 1
Pb2 Pb 0.0000 0.0000 0.3998 1
```

## Properties
DFT formation energy = -0.398 eV/atom
V = 17.2 Å³ per atom

Record 7
A relaxed MnRe3Ni crystal, computed with GGA-PBE.

The structure in CIF format:
```
data_MnRe3Ni
_chemical_formula_sum 'Mn1 Re3 Ni1'
_space_group_name_H-M_alt 'P m -3 m'
_space_group_IT_number 221
_space_group_name_Hall '-P 4 2 3'
_cell_length_a 4.3775
_cell_length_b 4.3775
_cell_length_c 4.3775
_cell_angle_alpha 90.00
_cell_angle_beta 90.00
_cell_angle_gamma 90.00
loop_
_atom_site_label
_atom_site_type_symbol
_atom_site_fract_x
_atom_site_fract_y
_atom_site_fract_z
_atom_site_occupancy
Mn1 Mn 0.0000 0.0000 0.0000 1
Re1 Re 0.0000 0.0000 0.5000 1
Ni1 Ni 0.5000 0.5000 0.5000 1
```

## Properties
DFT formation energy = 1.657 eV/atom
V = 16.8 Å³ per atom
ΔE to the lowest computed polymorph = 0 meV per atom

Record 8
A relaxed Sm2Y4ErTm2 crystal, computed with GGA-PBE.

The structure in CIF format:
```
data_Sm2Y4ErTm2
_chemical_formula_sum 'Sm4 Y8 Er2 Tm4'
_space_group_name_H-M_alt 'C 1 2/m 1'
_space_group_IT_number 12
_space_group_name_Hall '-C 2y'
_cell_length_a 18.6658
_cell_length_b 3.5934
_cell_length_c 9.5378
_cell_angle_alpha 90.00
_cell_angle_beta 115.82
_cell_angle_gamma 90.00
loop_
_atom_site_label
_atom_site_type_symbol
_atom_site_fract_x
_atom_site_fract_y
_atom_site_fract_z
_atom_site_occupancy
Sm1 Sm 0.1488 0.0000 0.1679 1
Y1 Y 0.0183 0.5000 0.8312 1
Y2 Y 0.1847 0.0000 0.8314 1
Er1 Er 0.0000 0.0000 0.5000 1
Tm1 Tm 0.1666 0.5000 0.5003 1
```

## Properties
DFT formation energy = 0.011 eV/atom
V = 32.0 Å³ per atom

Record 9
A relaxed CsAl3Ag crystal, computed with GGA-PBE.

The structure in CIF format:
```
data_CsAl3Ag
_chemical_formula_sum 'Cs1 Al3 Ag1'
_space_group_name_H-M_alt 'P m -3 m'
_space_group_IT_number 221
_space_group_name_Hall '-P 4 2 3'
_cell_length_a 6.1050
_cell_length_b 6.1050
_cell_length_c 6.1050
_cell_angle_alpha 90.00
_cell_angle_beta 90.00
_cell_angle_gamma 90.00
loop_
_atom_site_label
_atom_site_type_symbol
_atom_site_fract_x
_atom_site_fract_y
_atom_site_fract_z
_atom_site_occupancy
Cs1 Cs 0.0000 0.0000 0.0000 1
Al1 Al 0.0000 0.0000 0.5000 1
Ag1 Ag 0.5000 0.5000 0.5000 1
```

## Properties
DFT formation energy = 1.816 eV/atom
V = 45.5 Å³ per atom